# NaCr2RuBr (PBE, optimized geometry)
data_NaCr2RuBr
_symmetry_space_group_name_H-M 'P 4/m m m'
_symmetry_Int_Tables_number 123
_symmetry_space_group_name_Hall '-P 4 2'
_cell_length_a 5.1235
_cell_length_b 5.1235
_cell_length_c 4.9217
_cell_angle_alpha 90.00
_cell_angle_beta 90.00
_cell_angle_gamma 90.00
loop_
_atom_site_label
_atom_site_fract_x
_atom_site_fract_y
_atom_site_fract_z
Na1 0.0000 0.0000 0.0000
Cr1 0.0000 0.5000 0.0000
Ru1 0.0000 0.0000 0.5000
Br1 0.5000 0.5000 0.5000
# E_tot: -4.37 eV per atom

# TbDy6In4 (PBE, optimized geometry)
data_TbDy6In4
_symmetry_space_group_name_H-M 'I -4 2 m'
_symmetry_Int_Tables_number 121
_symmetry_space_group_name_Hall 'I -4 2'
_cell_length_a 7.7286
_cell_length_b 7.7286
_cell_length_c 11.6877
_cell_angle_alpha 90.00
_cell_angle_beta 90.00
_cell_angle_gamma 90.00
loop_
_atom_site_label
_atom_site_fract_x
_atom_site_fract_y
_atom_site_fract_z
Tb1 0.0000 0.0000 0.0000
Dy1 0.0000 0.5000 0.0000
Dy2 0.1871 0.1871 0.2845
In1 0.1677 0.1677 0.5666
# Energy of formation: -0.10 eV per atom

# RbIn2GeRu (PBE, optimized geometry)
data_RbIn2GeRu
_symmetry_space_group_name_H-M 'P 4/m m m'
_symmetry_Int_Tables_number 123
_symmetry_space_group_name_Hall '-P 4 2'
_cell_length_a 5.2818
_cell_length_b 5.2818
_cell_length_c 4.8481
_cell_angle_alpha 90.00
_cell_angle_beta 90.00
_cell_angle_gamma 90.00
loop_
_atom_site_label
_atom_site_fract_x
_atom_site_fract_y
_atom_site_fract_z
Rb1 0.0000 0.0000 0.0000
In1 0.0000 0.5000 0.5000
Ge1 0.5000 0.5000 0.0000
Ru1 0.5000 0.5000 0.5000
# Energy of formation: -0.04 eV per atom